No. 1
This record from Alexandria via LeMat-Bulk describes La3ErBi4 after structural relaxation. The functional is GGA-PBE.

Geometry as POSCAR:
```
La3ErBi4
1.0
4.651 0.000 0.000
0.000 8.038 -0.079
0.000 -2.609 7.603
Bi La Er
4 3 1
Cartesian
2.326 5.429 1.803
0.000 4.125 5.717
2.326 -0.001 5.721
0.000 1.304 1.807
0.000 -1.305 3.802
2.326 2.714 3.762
0.000 4.019 -0.040
2.326 0.000 0.000
```

Computed properties:
Total DFT energy (no corrections) = -0.393 Ry per atom
Formation enthalpy at 0 K = -0.9847 eV/atom
Crystal system = orthorhombic
Spin magnetization = 0.00 Bohr magnetons per cell

=====

No. 2
This record from Alexandria via LeMat-Bulk describes La2NdErBi5 after structural relaxation. The functional is GGA-PBE.

Geometry as POSCAR:
```
La2NdErBi5
1.0
5.417 0.000 0.000
0.000 5.417 0.000
0.000 0.000 12.107
La Er Nd Bi
2 1 1 5
Cartesian
2.709 2.709 3.361
2.709 2.709 8.746
0.000 0.000 6.054
0.000 0.000 0.000
0.000 2.709 6.054
2.709 2.709 0.000
2.709 0.000 6.054
0.000 0.000 9.077
0.000 0.000 3.030
```

Computed properties:
Total DFT energy (no corrections) = -0.337 Ry per atom
Formation enthalpy at 0 K = -0.2996 eV/atom
Crystal system = tetragonal
Spin magnetization = 0.00 Bohr magnetons per cell

=====

No. 3
This record from Alexandria via LeMat-Bulk describes LaNdEr2Bi4 after structural relaxation. The functional is GGA-PBE.

Geometry as POSCAR:
```
LaNdEr2Bi4
1.0
-3.946 -0.312 2.270
3.837 -2.772 6.287
2.185 6.016 4.625
Bi Er La Nd
4 2 1 1
Cartesian
-2.478 0.575 4.943
1.493 -0.779 7.073
4.554 2.356 8.239
0.583 3.710 6.109
2.185 6.016 4.625
-0.880 2.852 3.448
-0.055 -1.542 4.279
3.011 1.622 5.456
```

Computed properties:
Total DFT energy (no corrections) = -0.382 Ry per atom
Formation enthalpy at 0 K = -0.9035 eV/atom
Crystal system = monoclinic
Spin magnetization = 0.00 Bohr magnetons per cell

=====

No. 4
This record from Alexandria via LeMat-Bulk describes LaErBiO2 after structural relaxation. The functional is GGA-PBE.

Geometry as POSCAR:
```
LaErBiO2
1.0
5.611 0.000 0.000
0.000 5.631 0.000
0.000 -2.816 6.942
Bi La O Er
2 2 4 2
Cartesian
4.208 2.816 3.467
1.403 0.000 3.474
4.208 0.000 5.693
1.403 2.816 1.249
0.000 4.272 0.000
2.805 4.272 0.000
0.000 1.360 0.000
2.805 1.360 0.000
4.208 0.000 1.046
1.403 2.816 5.895
```

Computed properties:
Total DFT energy (no corrections) = -0.541 Ry per atom
Crystal system = orthorhombic
Raw formation energy = -2.697 eV per atom
Spin magnetization = 0.01 Bohr magnetons per cell

=====

No. 5
This record from Alexandria via LeMat-Bulk describes La2PmErBi5 after structural relaxation. The functional is GGA-PBE.

Geometry as POSCAR:
```
La2PmErBi5
1.0
5.419 0.000 0.000
0.000 5.419 0.000
0.000 0.000 12.074
Bi Er La Pm
5 1 2 1
Cartesian
0.000 0.000 3.012
2.709 2.709 0.000
2.709 0.000 6.037
0.000 0.000 9.062
0.000 2.709 6.037
0.000 0.000 6.037
2.709 2.709 3.352
2.709 2.709 8.723
0.000 0.000 0.000
```

Computed properties:
Total DFT energy (no corrections) = -0.337 Ry per atom
Formation enthalpy at 0 K = -0.2937 eV/atom
Crystal system = tetragonal
Spin magnetization = 0.00 Bohr magnetons per cell

=====

No. 6
This record from Alexandria via LeMat-Bulk describes La2PmErBi4 after structural relaxation. The functional is GGA-PBE.

Geometry as POSCAR:
```
La2PmErBi4
1.0
-1.602 -4.124 1.326
0.524 -2.624 -7.530
6.856 -1.438 3.808
Bi Er La Pm
4 1 2 1
Cartesian
0.958 -3.040 -0.254
4.820 -5.147 -2.143
2.046 -2.317 -4.736
5.333 -1.745 1.014
0.000 0.000 0.000
3.690 -2.031 -1.861
2.627 -2.781 2.567
-0.539 -3.374 -3.102
```

Computed properties:
Total DFT energy (no corrections) = -0.389 Ry per atom
Formation enthalpy at 0 K = -0.9618 eV/atom
Crystal system = monoclinic
Spin magnetization = 0.00 Bohr magnetons per cell

=====

No. 7
This record from Alexandria via LeMat-Bulk describes LaPm2ErBi5 after structural relaxation. The functional is GGA-PBE.

Geometry as POSCAR:
```
LaPm2ErBi5
1.0
5.387 0.000 0.000
0.000 5.387 0.000
0.000 0.000 12.192
Pm Bi La Er
2 5 1 1
Cartesian
2.694 2.694 3.281
2.694 2.694 8.911
0.000 0.000 9.123
2.694 2.694 0.000
0.000 2.694 6.096
0.000 0.000 3.069
2.694 0.000 6.096
0.000 0.000 0.000
0.000 0.000 6.096
```

Computed properties:
Total DFT energy (no corrections) = -0.327 Ry per atom
Formation enthalpy at 0 K = -0.1818 eV/atom
Crystal system = tetragonal
Spin magnetization = 0.00 Bohr magnetons per cell

=====

No. 8
This record from Alexandria via LeMat-Bulk describes LaPr2ErBi4 after structural relaxation. The functional is GGA-PBE.

Geometry as POSCAR:
```
LaPr2ErBi4
1.0
4.619 0.000 0.000
0.000 7.990 -0.159
0.000 2.810 7.470
Bi Er Pr La
4 1 2 1
Cartesian
2.309 4.141 5.492
2.309 6.658 1.818
4.619 2.739 1.870
0.000 8.061 5.441
0.000 5.400 3.655
2.309 1.405 3.735
0.000 2.810 7.470
2.309 3.995 -0.080
```

Computed properties:
Total DFT energy (no corrections) = -0.386 Ry per atom
Formation enthalpy at 0 K = -0.9363 eV/atom
Crystal system = monoclinic
Spin magnetization = 0.00 Bohr magnetons per cell

=====

No. 9
This record from Alexandria via LeMat-Bulk describes La2PrErBi5 after structural relaxation. The functional is GGA-PBE.

Geometry as POSCAR:
```
La2PrErBi5
1.0
5.416 0.000 0.000
0.000 5.416 0.000
0.000 0.000 12.147
Bi La Pr Er
5 2 1 1
Cartesian
0.000 2.708 6.074
0.000 0.000 3.050
2.708 2.708 0.000
2.708 0.000 6.074
0.000 0.000 9.097
2.708 2.708 3.367
2.708 2.708 8.780
0.000 0.000 0.000
0.000 0.000 6.074
```

Computed properties:
Total DFT energy (no corrections) = -0.338 Ry per atom
Formation enthalpy at 0 K = -0.3061 eV/atom
Crystal system = tetragonal
Spin magnetization = 0.00 Bohr magnetons per cell

=====

No. 10
This record from Alexandria via LeMat-Bulk describes LaPr2ErBi5 after structural relaxation. The functional is GGA-PBE.

Geometry as POSCAR:
```
LaPr2ErBi5
1.0
5.400 0.000 0.000
0.000 5.400 0.000
0.000 0.000 12.224
Pr Bi La Er
2 5 1 1
Cartesian
2.700 2.700 3.319
2.700 2.700 8.905
2.700 0.000 6.112
0.000 2.700 6.112
0.000 0.000 9.148
2.700 2.700 0.000
0.000 0.000 3.076
0.000 0.000 0.000
0.000 0.000 6.112
```

Computed properties:
Total DFT energy (no corrections) = -0.332 Ry per atom
Formation enthalpy at 0 K = -0.2389 eV/atom
Crystal system = tetragonal
Spin magnetization = 0.00 Bohr magnetons per cell

=====

No. 11
This record from Alexandria via LeMat-Bulk describes LaEr2PuBi4 after structural relaxation. The functional is GGA-PBE.

Geometry as POSCAR:
```
LaEr2PuBi4
1.0
4.547 0.000 0.000
0.000 7.848 -0.148
0.000 2.768 7.367
Bi Er Pu La
4 2 1 1
Cartesian
4.547 2.580 1.795
0.000 8.037 5.423
2.274 6.651 1.668
2.274 3.966 5.551
2.274 1.384 3.683
0.000 2.768 7.367
2.274 6.692 7.293
0.000 5.308 3.609
```

Computed properties:
Total DFT energy (no corrections) = -0.458 Ry per atom
Formation enthalpy at 0 K = -0.7409 eV/atom
Crystal system = monoclinic
Spin magnetization = 5.14 Bohr magnetons per cell

=====

No. 12
This record from Alexandria via LeMat-Bulk describes LaEr2ScBi4 after structural relaxation. The functional is GGA-PBE.

Geometry as POSCAR:
```
LaEr2ScBi4
1.0
6.343 0.346 0.000
-0.345 6.344 0.000
-2.999 -3.345 6.301
Bi Sc Er La
4 1 2 1
Cartesian
-0.379 -0.423 3.282
2.620 2.922 3.019
2.450 6.101 0.000
5.798 3.098 0.000
2.629 2.931 0.000
2.792 -0.250 3.150
-0.552 2.748 3.150
5.621 6.269 0.000
```

Computed properties:
Total DFT energy (no corrections) = -0.389 Ry per atom
Formation enthalpy at 0 K = -0.8064 eV/atom
Crystal system = orthorhombic
Spin magnetization = 0.00 Bohr magnetons per cell

=====

No. 13
This record from Alexandria via LeMat-Bulk describes LaErBiSe after structural relaxation. The functional is GGA-PBE.

Geometry as POSCAR:
```
LaErBiSe
1.0
-1.543 -3.803 1.139
4.017 0.343 -1.375
2.062 3.625 6.931
Bi La Se Er
1 1 1 1
Cartesian
3.865 0.215 -0.504
0.811 -2.218 3.160
1.133 0.525 4.791
3.511 2.173 5.553
```

Computed properties:
Total DFT energy (no corrections) = -0.403 Ry per atom
Crystal system = trigonal
Raw formation energy = -1.270 eV per atom
Spin magnetization = 0.65 Bohr magnetons per cell

=====

No. 14
This record from Alexandria via LeMat-Bulk describes La2SmErBi4 after structural relaxation. The functional is GGA-PBE.

Geometry as POSCAR:
```
La2SmErBi4
1.0
-3.045 1.083 -3.293
-4.484 -6.238 2.095
-5.246 2.238 5.587
Bi Er La Sm
4 1 2 1
Cartesian
-6.594 0.568 3.052
-5.522 0.021 -1.351
-7.252 -2.938 5.740
-6.180 -3.484 1.337
-4.865 -2.000 3.841
-5.246 2.238 5.587
-4.145 1.661 1.147
-3.764 -2.578 -0.599
```

Computed properties:
Total DFT energy (no corrections) = -0.389 Ry per atom
Formation enthalpy at 0 K = -0.9587 eV/atom
Crystal system = monoclinic
Spin magnetization = 0.00 Bohr magnetons per cell

=====

No. 15
This record from Alexandria via LeMat-Bulk describes La3Tb2ErBi6 after structural relaxation. The functional is GGA-PBE.

Geometry as POSCAR:
```
La3Tb2ErBi6
1.0
-1.772 -5.889 5.065
0.404 -1.461 -7.822
7.725 0.842 1.594
La Er Bi Tb
3 1 6 2
Cartesian
2.455 -4.727 3.703
3.179 -3.254 -0.581
3.902 -1.782 -4.866
0.000 0.000 0.000
1.134 -2.333 1.840
5.542 -1.211 0.520
4.501 -5.644 1.271
0.815 -5.297 -1.683
1.856 -0.864 -2.434
5.223 -4.175 -3.003
-0.322 -2.939 -3.521
-1.046 -4.411 0.764
```

Computed properties:
Total DFT energy (no corrections) = -0.388 Ry per atom
Formation enthalpy at 0 K = -0.9537 eV/atom
Crystal system = monoclinic
Spin magnetization = 0.00 Bohr magnetons per cell

=====

No. 16
This record from Alexandria via LeMat-Bulk describes La2TbEr3Bi6 after structural relaxation. The functional is GGA-PBE.

Geometry as POSCAR:
```
La2TbEr3Bi6
1.0
7.879 -0.002 0.000
-3.939 6.824 0.000
-1.315 -2.277 7.400
Bi La Er Tb
6 2 3 1
Cartesian
3.915 2.318 5.475
-1.290 2.227 1.925
-0.030 -0.052 5.453
2.655 4.597 1.947
0.051 4.549 5.475
2.574 -0.004 1.925
3.927 2.281 0.000
0.013 4.541 0.000
-2.592 4.527 3.700
1.313 2.273 3.700
5.217 0.018 3.700
0.000 0.000 0.000
```

Computed properties:
Total DFT energy (no corrections) = -0.381 Ry per atom
Formation enthalpy at 0 K = -0.8987 eV/atom
Crystal system = monoclinic
Spin magnetization = 0.00 Bohr magnetons per cell

=====

No. 17
This record from Alexandria via LeMat-Bulk describes La3TbEr2Bi6 after structural relaxation. The functional is GGA-PBE.

Geometry as POSCAR:
```
La3TbEr2Bi6
1.0
7.957 0.000 0.001
-3.977 6.892 0.001
-1.327 -2.297 7.458
La Bi Er Tb
3 6 2 1
Cartesian
1.327 2.297 3.730
-2.659 4.599 3.730
5.312 -0.004 3.730
-0.013 4.595 5.698
2.666 0.000 1.763
3.986 2.285 5.698
-1.332 2.309 1.763
0.007 0.012 5.701
2.647 4.583 1.760
3.981 2.296 0.001
-0.001 4.596 0.001
0.000 0.000 0.000
```

Computed properties:
Total DFT energy (no corrections) = -0.387 Ry per atom
Formation enthalpy at 0 K = -0.9421 eV/atom
Crystal system = monoclinic
Spin magnetization = 0.00 Bohr magnetons per cell

=====

No. 18
This record from Alexandria via LeMat-Bulk describes La2TbErBi4 after structural relaxation. The functional is GGA-PBE.

Geometry as POSCAR:
```
La2TbErBi4
1.0
-1.505 -4.167 -1.234
6.612 -3.273 2.986
-5.567 0.344 5.631
Bi Er Tb La
4 1 1 2
Cartesian
-2.559 -0.575 5.065
-0.021 -4.285 5.927
3.605 -2.354 3.552
-0.438 -2.811 1.457
2.554 -3.720 0.876
0.000 0.000 0.000
0.523 -1.465 4.309
-3.536 -1.911 2.199
```

Computed properties:
Total DFT energy (no corrections) = -0.387 Ry per atom
Formation enthalpy at 0 K = -0.9481 eV/atom
Crystal system = monoclinic
Spin magnetization = 0.00 Bohr magnetons per cell

=====

No. 19
This record from Alexandria via LeMat-Bulk describes LaErBiTe after structural relaxation. The functional is GGA-PBE.

Geometry as POSCAR:
```
LaErBiTe
1.0
-2.340 -3.094 -2.099
4.358 0.271 -0.624
1.268 -2.952 7.572
Bi Te La Er
1 1 1 1
Cartesian
2.809 -3.450 5.712
-0.158 -3.884 0.391
0.272 -3.280 3.656
4.030 -0.462 -0.053
```

Computed properties:
Total DFT energy (no corrections) = -0.388 Ry per atom
Crystal system = trigonal
Raw formation energy = -1.145 eV per atom
Spin magnetization = 0.61 Bohr magnetons per cell

=====

No. 20
This record from Alexandria via LeMat-Bulk describes LaEr2ThBi4 after structural relaxation. The functional is GGA-PBE.

Geometry as POSCAR:
```
LaEr2ThBi4
1.0
4.558 0.000 0.000
0.000 7.830 -0.137
0.000 2.775 7.397
Th Bi Er La
1 4 2 1
Cartesian
0.000 5.302 3.630
0.000 8.037 5.391
2.279 3.947 5.529
2.279 6.657 1.732
4.558 2.568 1.870
2.279 1.387 3.699
0.000 2.775 7.397
2.279 3.915 -0.068
```

Computed properties:
Total DFT energy (no corrections) = -0.400 Ry per atom
Formation enthalpy at 0 K = -0.8206 eV/atom
Crystal system = monoclinic
Spin magnetization = 0.00 Bohr magnetons per cell

=====

No. 21
This record from Alexandria via LeMat-Bulk describes LaErTh2Bi5 after structural relaxation. The functional is GGA-PBE.

Geometry as POSCAR:
```
LaErTh2Bi5
1.0
5.390 0.000 0.000
0.000 5.390 0.000
0.000 0.000 11.971
Bi La Er Th
5 1 1 2
Cartesian
0.000 0.000 8.943
0.000 0.000 3.028
2.695 2.695 0.000
2.695 0.000 5.986
0.000 2.695 5.986
0.000 0.000 0.000
0.000 0.000 5.986
2.695 2.695 3.589
2.695 2.695 8.382
```

Computed properties:
Total DFT energy (no corrections) = -0.360 Ry per atom
Formation enthalpy at 0 K = -0.0417 eV/atom
Crystal system = tetragonal
Spin magnetization = 0.00 Bohr magnetons per cell

=====

No. 22
This record from Alexandria via LeMat-Bulk describes La2ErThBi4 after structural relaxation. The functional is GGA-PBE.

Geometry as POSCAR:
```
La2ErThBi4
1.0
4.619 0.000 0.000
0.000 7.966 0.129
0.000 -2.793 7.510
Bi Er Th La
4 1 1 2
Cartesian
0.000 5.314 1.910
0.000 -0.141 5.728
2.309 1.261 1.817
2.309 3.912 5.822
0.000 0.000 0.000
2.309 3.983 0.064
2.309 -1.397 3.755
0.000 2.587 3.819
```

Computed properties:
Total DFT energy (no corrections) = -0.408 Ry per atom
Formation enthalpy at 0 K = -0.8854 eV/atom
Crystal system = monoclinic
Spin magnetization = 0.00 Bohr magnetons per cell

=====

No. 23
This record from Alexandria via LeMat-Bulk describes La3Er2TmBi6 after structural relaxation. The functional is GGA-PBE.

Geometry as POSCAR:
```
La3Er2TmBi6
1.0
7.943 0.000 0.001
-3.970 6.880 0.001
-1.324 -2.293 7.435
Bi Er La Tm
6 2 3 1
Cartesian
2.652 4.591 1.749
0.006 4.587 5.694
3.970 2.298 5.694
-0.003 -0.005 5.688
2.643 -0.001 1.744
-1.321 2.289 1.744
0.004 4.585 0.001
3.970 2.294 0.001
1.324 2.293 3.719
-2.643 4.584 3.719
5.291 0.002 3.719
0.000 0.000 0.000
```

Computed properties:
Total DFT energy (no corrections) = -0.384 Ry per atom
Formation enthalpy at 0 K = -0.9256 eV/atom
Crystal system = monoclinic
Spin magnetization = 0.00 Bohr magnetons per cell

=====

No. 24
This record from Alexandria via LeMat-Bulk describes La3ErTm2Bi6 after structural relaxation. The functional is GGA-PBE.

Geometry as POSCAR:
```
La3ErTm2Bi6
1.0
-7.485 2.634 -0.276
3.296 -3.273 -6.439
-1.035 -6.469 4.388
Tm Bi La Er
2 6 3 1
Cartesian
-3.891 0.665 -2.331
-0.298 -1.304 -4.385
-5.756 -4.450 -0.681
-3.069 -0.686 0.412
-3.360 -1.991 -3.970
0.531 -2.658 -1.646
-1.864 -5.118 1.643
-2.156 -6.423 -2.739
-6.208 -1.585 0.892
-2.612 -3.554 -1.164
0.983 -5.524 -3.219
0.000 0.000 0.000
```

Computed properties:
Total DFT energy (no corrections) = -0.384 Ry per atom
Formation enthalpy at 0 K = -0.9203 eV/atom
Crystal system = monoclinic
Spin magnetization = 0.00 Bohr magnetons per cell